*A*
A geometry-optimized CaCd4Ga structure. Source: Alexandria, functional PBE.

## Properties
Total magnetization   0.00 μB per formula unit
Calculated density   6.263 g cm⁻³

Cell and atoms, written as CIF:
```
data_CaCd4Ga
_chemical_formula_sum 'Ca1 Cd4 Ga1'
_cell_length_a 5.942
_cell_length_b 5.942
_cell_length_c 5.942
_cell_angle_alpha 60.00
_cell_angle_beta 60.00
_cell_angle_gamma 60.00
_symmetry_space_group_name_H-M 'P 1'
_symmetry_Int_Tables_number 1
_symmetry_space_group_name_Hall 'P 1'
loop_
_atom_site_label
_atom_site_type_symbol
_atom_site_fract_x
_atom_site_fract_y
_atom_site_fract_z
Ca1 Ca 0.000 0.000 0.000
Cd1 Cd 0.375 0.375 0.375
Cd2 Cd 0.375 0.375 0.875
Cd3 Cd 0.375 0.875 0.375
Cd4 Cd 0.875 0.375 0.375
Ga1 Ga 0.750 0.750 0.750
```


*B*
A geometry-optimized CaCd4Ga structure. Source: Alexandria, functional PBE.

## Properties
Total magnetization   0.00 μB per formula unit
Calculated density   6.560 g cm⁻³

Cell and atoms, written as CIF:
```
data_CaCd4Ga
_chemical_formula_sum 'Ca2 Cd8 Ga2'
_cell_length_a 8.750
_cell_length_b 8.750
_cell_length_c 7.556
_cell_angle_alpha 90.00
_cell_angle_beta 90.00
_cell_angle_gamma 150.69
_symmetry_space_group_name_H-M 'P 1'
_symmetry_Int_Tables_number 1
_symmetry_space_group_name_Hall 'P 1'
loop_
_atom_site_label
_atom_site_type_symbol
_atom_site_fract_x
_atom_site_fract_y
_atom_site_fract_z
Ca1 Ca 0.125 0.875 0.750
Ca2 Ca 0.875 0.125 0.250
Cd1 Cd 0.068 0.932 0.250
Cd2 Cd 0.325 0.675 0.554
Cd3 Cd 0.325 0.675 0.946
Cd4 Cd 0.500 0.500 0.000
Cd5 Cd 0.500 0.500 0.500
Cd6 Cd 0.675 0.325 0.054
Cd7 Cd 0.675 0.325 0.446
Cd8 Cd 0.932 0.068 0.750
Ga1 Ga 0.237 0.763 0.250
Ga2 Ga 0.763 0.237 0.750
```


Top of the stability list: *B*, leading by 100 meV per atom.


*A*
A geometry-optimized Ca8Cd2Ga structure. Source: Alexandria, functional PBE.

## Properties
Total magnetization   0.00 μB per formula unit
Calculated density   2.797 g cm⁻³

Cell and atoms, written as CIF:
```
data_Ca8Cd2Ga
_chemical_formula_sum 'Ca8 Cd2 Ga1'
_cell_length_a 9.839
_cell_length_b 9.839
_cell_length_c 7.557
_cell_angle_alpha 108.88
_cell_angle_beta 108.88
_cell_angle_gamma 32.02
_symmetry_space_group_name_H-M 'P 1'
_symmetry_Int_Tables_number 1
_symmetry_space_group_name_Hall 'P 1'
loop_
_atom_site_label
_atom_site_type_symbol
_atom_site_fract_x
_atom_site_fract_y
_atom_site_fract_z
Ca1 Ca 0.026 0.026 0.292
Ca2 Ca 0.202 0.202 0.800
Ca3 Ca 0.338 0.338 0.541
Ca4 Ca 0.406 0.406 0.061
Ca5 Ca 0.594 0.594 0.939
Ca6 Ca 0.662 0.662 0.459
Ca7 Ca 0.798 0.798 0.200
Ca8 Ca 0.974 0.974 0.708
Cd1 Cd 0.179 0.179 0.200
Cd2 Cd 0.821 0.821 0.800
Ga1 Ga 0.500 0.500 0.500
```


*B*
A geometry-optimized Ca8Cd2Ga structure. Source: Alexandria, functional PBE.

## Properties
Total magnetization   0.00 μB per formula unit
Calculated density   2.819 g cm⁻³

Cell and atoms, written as CIF:
```
data_Ca8Cd2Ga
_chemical_formula_sum 'Ca8 Cd2 Ga1'
_cell_length_a 9.225
_cell_length_b 9.225
_cell_length_c 9.225
_cell_angle_alpha 146.57
_cell_angle_beta 121.81
_cell_angle_gamma 68.80
_symmetry_space_group_name_H-M 'P 1'
_symmetry_Int_Tables_number 1
_symmetry_space_group_name_Hall 'P 1'
loop_
_atom_site_label
_atom_site_type_symbol
_atom_site_fract_x
_atom_site_fract_y
_atom_site_fract_z
Ca1 Ca 0.120 0.341 0.778
Ca2 Ca 0.135 0.135 0.000
Ca3 Ca 0.314 0.000 0.314
Ca4 Ca 0.437 0.659 0.778
Ca5 Ca 0.563 0.341 0.222
Ca6 Ca 0.686 0.000 0.686
Ca7 Ca 0.865 0.865 0.000
Ca8 Ca 0.880 0.659 0.222
Cd1 Cd 0.307 0.807 0.500
Cd2 Cd 0.693 0.193 0.500
Ga1 Ga 0.000 0.500 0.500
```


Top of the stability list: *A*, leading by 57 meV per atom.


*A*
A geometry-optimized Ca2Cd3Ga structure. Source: Alexandria, functional PBE.

## Properties
Total magnetization   0.00 μB per formula unit
Calculated density   5.000 g cm⁻³

Cell and atoms, written as CIF:
```
data_Ca2Cd3Ga
_chemical_formula_sum 'Ca2 Cd3 Ga1'
_cell_length_a 9.201
_cell_length_b 9.201
_cell_length_c 9.201
_cell_angle_alpha 156.05
_cell_angle_beta 149.18
_cell_angle_gamma 39.41
_symmetry_space_group_name_H-M 'P 1'
_symmetry_Int_Tables_number 1
_symmetry_space_group_name_Hall 'P 1'
loop_
_atom_site_label
_atom_site_type_symbol
_atom_site_fract_x
_atom_site_fract_y
_atom_site_fract_z
Ca1 Ca 0.000 0.000 0.000
Ca2 Ca 0.768 0.268 0.500
Cd1 Cd 0.177 0.677 0.500
Cd2 Cd 0.340 0.840 0.500
Cd3 Cd 0.598 0.598 0.000
Ga1 Ga 0.445 0.445 0.000
```


*B*
A geometry-optimized Ca2Cd3Ga structure. Source: Alexandria, functional PBE.

## Properties
Total magnetization   0.00 μB per formula unit
Calculated density   5.346 g cm⁻³

Cell and atoms, written as CIF:
```
data_Ca2Cd3Ga
_chemical_formula_sum 'Ca2 Cd3 Ga1'
_cell_length_a 3.671
_cell_length_b 4.822
_cell_length_c 8.546
_cell_angle_alpha 90.00
_cell_angle_beta 90.00
_cell_angle_gamma 90.00
_symmetry_space_group_name_H-M 'P 1'
_symmetry_Int_Tables_number 1
_symmetry_space_group_name_Hall 'P 1'
loop_
_atom_site_label
_atom_site_type_symbol
_atom_site_fract_x
_atom_site_fract_y
_atom_site_fract_z
Ca1 Ca 0.000 0.000 0.000
Ca2 Ca 0.000 0.500 0.481
Cd1 Cd 0.500 0.000 0.649
Cd2 Cd 0.500 0.500 0.163
Cd3 Cd 0.500 0.500 0.826
Ga1 Ga 0.500 0.000 0.324
```


Top of the stability list: *B*, leading by 85 meV per atom.


*A*
A geometry-optimized Ca4CdGa structure. Source: Alexandria, functional PBE.

## Properties
Total magnetization   0.00 μB per formula unit
Calculated density   2.703 g cm⁻³

Cell and atoms, written as CIF:
```
data_Ca4CdGa
_chemical_formula_sum 'Ca4 Cd1 Ga1'
_cell_length_a 5.319
_cell_length_b 5.319
_cell_length_c 9.116
_cell_angle_alpha 106.89
_cell_angle_beta 106.89
_cell_angle_gamma 59.98
_symmetry_space_group_name_H-M 'P 1'
_symmetry_Int_Tables_number 1
_symmetry_space_group_name_Hall 'P 1'
loop_
_atom_site_label
_atom_site_type_symbol
_atom_site_fract_x
_atom_site_fract_y
_atom_site_fract_z
Ca1 Ca 0.118 0.118 0.354
Ca2 Ca 0.367 0.367 0.102
Ca3 Ca 0.633 0.633 0.898
Ca4 Ca 0.882 0.882 0.646
Cd1 Cd 0.500 0.500 0.500
Ga1 Ga 0.000 0.000 0.000
```


*B*
A geometry-optimized Ca4CdGa structure. Source: Alexandria, functional PBE.

## Properties
Total magnetization   0.00 μB per formula unit
Calculated density   2.935 g cm⁻³

Cell and atoms, written as CIF:
```
data_Ca4CdGa
_chemical_formula_sum 'Ca8 Cd2 Ga2'
_cell_length_a 8.525
_cell_length_b 8.525
_cell_length_c 6.157
_cell_angle_alpha 101.04
_cell_angle_beta 101.04
_cell_angle_gamma 112.68
_symmetry_space_group_name_H-M 'P 1'
_symmetry_Int_Tables_number 1
_symmetry_space_group_name_Hall 'P 1'
loop_
_atom_site_label
_atom_site_type_symbol
_atom_site_fract_x
_atom_site_fract_y
_atom_site_fract_z
Ca1 Ca 0.066 0.712 0.939
Ca2 Ca 0.219 0.371 0.647
Ca3 Ca 0.288 0.934 0.561
Ca4 Ca 0.371 0.219 0.147
Ca5 Ca 0.629 0.781 0.853
Ca6 Ca 0.712 0.066 0.439
Ca7 Ca 0.781 0.629 0.353
Ca8 Ca 0.934 0.288 0.061
Cd1 Cd 0.375 0.625 0.250
Cd2 Cd 0.625 0.375 0.750
Ga1 Ga 0.000 0.000 0.250
Ga2 Ga 0.000 0.000 0.750
```


Top of the stability list: *B*, leading by 84 meV per atom.


*A*
A geometry-optimized CaTbCdGa structure. Source: Alexandria, functional PBE.

## Properties
Total magnetization   0.00 μB per formula unit
Calculated density   6.215 g cm⁻³

Cell and atoms, written as CIF:
```
data_CaTbCdGa
_chemical_formula_sum 'Ca1 Tb1 Cd1 Ga1'
_cell_length_a 3.628
_cell_length_b 3.628
_cell_length_c 7.739
_cell_angle_alpha 90.00
_cell_angle_beta 90.00
_cell_angle_gamma 90.00
_symmetry_space_group_name_H-M 'P 1'
_symmetry_Int_Tables_number 1
_symmetry_space_group_name_Hall 'P 1'
loop_
_atom_site_label
_atom_site_type_symbol
_atom_site_fract_x
_atom_site_fract_y
_atom_site_fract_z
Ca1 Ca 0.000 0.000 0.000
Tb1 Tb 0.000 0.000 0.470
Cd1 Cd 0.500 0.500 0.732
Ga1 Ga 0.500 0.500 0.245
```


*B*
A geometry-optimized CaTbCdGa structure. Source: Alexandria, functional PBE.

## Properties
Total magnetization   0.00 μB per formula unit
Calculated density   6.226 g cm⁻³

Cell and atoms, written as CIF:
```
data_CaTbCdGa
_chemical_formula_sum 'Ca1 Tb1 Cd1 Ga1'
_cell_length_a 5.238
_cell_length_b 5.238
_cell_length_c 5.238
_cell_angle_alpha 60.00
_cell_angle_beta 60.00
_cell_angle_gamma 60.00
_symmetry_space_group_name_H-M 'P 1'
_symmetry_Int_Tables_number 1
_symmetry_space_group_name_Hall 'P 1'
loop_
_atom_site_label
_atom_site_type_symbol
_atom_site_fract_x
_atom_site_fract_y
_atom_site_fract_z
Ca1 Ca 0.000 0.000 0.000
Tb1 Tb 0.500 0.500 0.500
Cd1 Cd 0.750 0.750 0.750
Ga1 Ga 0.250 0.250 0.250
```


Top of the stability list: *A*, leading by 7 meV per atom.


*A*
A geometry-optimized CaYCdGa structure. Source: Alexandria, functional PBE.

## Properties
Total magnetization   0.00 μB per formula unit
Calculated density   5.089 g cm⁻³

Cell and atoms, written as CIF:
```
data_CaYCdGa
_chemical_formula_sum 'Ca1 Y1 Cd1 Ga1'
_cell_length_a 3.628
_cell_length_b 3.628
_cell_length_c 7.713
_cell_angle_alpha 90.00
_cell_angle_beta 90.00
_cell_angle_gamma 90.00
_symmetry_space_group_name_H-M 'P 1'
_symmetry_Int_Tables_number 1
_symmetry_space_group_name_Hall 'P 1'
loop_
_atom_site_label
_atom_site_type_symbol
_atom_site_fract_x
_atom_site_fract_y
_atom_site_fract_z
Ca1 Ca 0.000 0.000 0.000
Y1 Y 0.000 0.000 0.471
Cd1 Cd 0.500 0.500 0.731
Ga1 Ga 0.500 0.500 0.245
```


*B*
A geometry-optimized CaYCdGa structure. Source: Alexandria, functional PBE.

## Properties
Total magnetization   0.00 μB per formula unit
Calculated density   5.100 g cm⁻³

Cell and atoms, written as CIF:
```
data_CaYCdGa
_chemical_formula_sum 'Ca1 Y1 Cd1 Ga1'
_cell_length_a 5.232
_cell_length_b 5.232
_cell_length_c 5.232
_cell_angle_alpha 60.00
_cell_angle_beta 60.00
_cell_angle_gamma 60.00
_symmetry_space_group_name_H-M 'P 1'
_symmetry_Int_Tables_number 1
_symmetry_space_group_name_Hall 'P 1'
loop_
_atom_site_label
_atom_site_type_symbol
_atom_site_fract_x
_atom_site_fract_y
_atom_site_fract_z
Ca1 Ca 0.000 0.000 0.000
Y1 Y 0.500 0.500 0.500
Cd1 Cd 0.750 0.750 0.750
Ga1 Ga 0.250 0.250 0.250
```


Top of the stability list: *A*, leading by 10 meV per atom.